# 1
Computed, not measured: crystalline Sn2TePdO6 at its relaxed geometry at the PBE level of DFT.

Cell: 6.4033 5.3272 9.6795 Å, 90.00 129.17 90.00°
Closest atoms and distances in Å follow each position.
Space group P2_1/c (No. 14)
Asymmetric unit:
Sn 0.2436 0.0192 0.2424  5 O 2.22-2.36
Te 0.5000 0.0000 0.0000  6 O 1.95-2.01
Pd 0.0000 0.0000 0.5000  4 O 2.21-2.45
O 0.1501 0.6079 0.2690  1 Te 2.01, 1 Pd 2.21
O 0.3642 0.1786 0.5116  1 Te 1.96
O 0.4200 0.6809 0.6365  1 Te 1.95

VASP energy = -108.38 eV for the cell shown

=====

# 2
Computed, not measured: crystalline SnTePdO at its relaxed geometry at the PBE level of DFT.

Cell: 4.2977 4.2977 8.7673 Å, 90.00 90.00 90.00°
Closest atoms and distances in Å follow each position.
Space group P4/nmm (No. 129, origin choice 2)
Asymmetric unit:
Sn 0.2500 0.7500 0.0000  4 Pd 2.88, 4 Sn 3.04
Te 0.2500 0.2500 0.3190  1 O 1.88
Pd 0.2500 0.2500 0.7811  1 O 2.17
O 0.2500 0.2500 0.5335  1 Te 1.88

VASP energy = -35.89 eV for the cell shown
ΔE to the lowest computed polymorph = 562 meV/atom

=====

# 3
Computed, not measured: crystalline SnTePdO at its relaxed geometry at the PBE level of DFT.

Cell: 6.6084 7.7605 6.1519 Å, 90.00 90.00 90.00°
Closest atoms and distances in Å follow each position.
Space group Pca2_1 (No. 29)
Asymmetric unit:
Sn 0.1495 0.1263 0.0000  3 O 2.22-2.34
Te 0.1248 0.6024 0.7390  3 Pd 2.60-2.69
Pd 0.0029 0.7042 0.1363  1 O 2.43, 3 Te 2.60-2.69
O 0.1047 0.9751 0.3032  3 Sn 2.22-2.34, 1 Pd 2.43

VASP energy = -78.13 eV for the cell shown
ΔE to the lowest computed polymorph = 165 meV/atom

=====

# 4
Computed, not measured: crystalline Sr2PdO4 at its relaxed geometry at the PBE level of DFT.

Cell: 6.0618 9.8276 3.3346 Å, 90.00 90.00 90.00°
Closest atoms and distances in Å follow each position.
Space group Pbam (No. 55)
Asymmetric unit:
Sr 0.0778 0.1803 0.0000  6 O 2.43-2.64
Pd 0.0000 0.5000 0.5000  6 O 2.04-2.12
O 0.1312 0.6907 0.5000  1 Pd 2.04
O 0.2003 0.4494 0.0000  2 Pd 2.12

VASP energy = -81.58 eV for the cell shown
ΔE to the lowest computed polymorph = 0 meV/atom